No. 1
DFT (GGA-PBE) results for an optimized crystal structure of CeEuDyCd.

## Properties
space group = F-43m
formation energy from the elements = 50 meV/atom
density of states at the Fermi level = 9.179 states/eV per cell

abc: 5.5011 5.5011 5.5011
angles: 60.00 60.00 60.00
Last column: magnetic moment on the atom in μB.
Sites, in units of the cell vectors:
Ce (0.2500, 0.2500, 0.2500)  1.05
Dy (0.7500, 0.7500, 0.7500)  0.38
Eu (0.5000, 0.5000, 0.5000)  7.05
Cd (0.0000, 0.0000, 0.0000)  -0.02

=====

No. 2
DFT (GGA-PBE) results for an optimized crystal structure of YMgCuGe.

## Properties
space group = F-43m
formation energy from the elements = -372 meV/atom
density of states at the Fermi level = 1.928 states/eV per cell

abc: 4.8027 4.8027 4.8027
angles: 60.00 60.00 60.00
Sites, in units of the cell vectors:
Cu (0.7500, 0.7500, 0.7500)
Ge (0.2500, 0.2500, 0.2500)
Y (0.5000, 0.5000, 0.5000)
Mg (0.0000, 0.0000, 0.0000)

=====

No. 3
DFT (GGA-PBE) results for an optimized crystal structure of Tb3Dy4Ge4.

## Properties
space group = Immm
formation energy from the elements = -613 meV/atom
density of states at the Fermi level = 11.314 states/eV per cell

abc: 3.9064 8.6844 9.6052
angles: 116.88 101.73 90.00
Last column: magnetic moment on the atom in μB.
Sites, in units of the cell vectors:
Ge (0.5000, 0.2220, 0.0000)  0.00
Tb (0.0990, 0.0990, 0.1980)  0.09
Ge (0.5000, 0.7780, 0.0000)  0.00
Ge (0.7322, 0.2322, 0.4643)  -0.01
Dy (0.3292, 0.1453, 0.6584)  0.13
Dy (0.6708, 0.8547, 0.3416)  0.13
Dy (0.3292, 0.5131, 0.6584)  0.13
Ge (0.2678, 0.7678, 0.5357)  -0.01
Tb (0.9010, 0.9010, 0.8020)  0.09
Dy (0.6708, 0.4869, 0.3416)  0.13
Tb (0.0000, 0.5000, 0.0000)  0.01

=====

So what do the calculations give for V? Going down the list: 118 78 283 Å³/f.u..